# 1
# PBE with a Hubbard U CoH10SeO9, relaxed
data_CoH10SeO9
_chemical_formula_sum 'Co2 H20 Se2 O18'
_symmetry_space_group_name_H-M 'P -1'
_symmetry_Int_Tables_number 2
_cell_length_a 6.234
_cell_length_b 6.334
_cell_length_c 10.918
_cell_angle_alpha 75.71
_cell_angle_beta 81.48
_cell_angle_gamma 70.97
loop_
_symmetry_equiv_pos_as_xyz
'x,y,z'
'-x,-y,-z'
loop_
_atom_site_label
_atom_site_fract_x
_atom_site_fract_y
_atom_site_fract_z
Co1 0.000 0.000 0.000
Co2 0.000 0.500 0.500
H1 0.093 0.172 0.707
H2 0.106 0.306 0.095
H3 0.167 0.636 0.881
H4 0.241 0.780 0.504
H5 0.253 0.606 0.640
H6 0.292 0.926 0.301
H7 0.315 0.102 0.374
H8 0.335 0.160 0.630
H9 0.343 0.182 0.871
H10 0.435 0.905 0.893
Se1 0.356 0.517 0.212
O1 0.028 0.736 0.919
O2 0.162 0.681 0.566
O3 0.169 0.200 0.621
O4 0.179 0.784 0.174
O5 0.284 0.398 0.362
O6 0.301 0.039 0.901
O7 0.352 0.352 0.115
O8 0.362 0.936 0.373
O9 0.379 0.465 0.793
# M_tot in μB per cell: 6.00
# Total DFT energy (no corrections) in eV per atom: -5.120
# Crystal system: triclinic


# 2
# PBE with a Hubbard U Tl2CoH12Se2O14, relaxed
data_Tl2CoH12Se2O14
_chemical_formula_sum 'Tl4 Co2 H24 Se4 O28'
_symmetry_space_group_name_H-M 'P 1 21/c 1'
_symmetry_Int_Tables_number 14
_cell_length_a 6.493
_cell_length_b 12.694
_cell_length_c 9.392
_cell_angle_alpha 90.00
_cell_angle_beta 103.85
_cell_angle_gamma 90.00
loop_
_symmetry_equiv_pos_as_xyz
'x,y,z'
'-x,-y,-z'
'-x,y+1/2,-z+1/2'
'x,-y+1/2,z+1/2'
loop_
_atom_site_label
_atom_site_fract_x
_atom_site_fract_y
_atom_site_fract_z
Tl1 0.159 0.154 0.364
Co1 0.500 0.000 0.000
H1 0.174 0.636 0.474
H2 0.175 0.560 0.609
H3 0.183 0.086 0.790
H4 0.402 0.121 0.754
H5 0.422 0.600 0.233
H6 0.498 0.187 0.145
Se1 0.226 0.641 0.907
O1 0.073 0.748 0.904
O2 0.100 0.560 0.771
O3 0.218 0.564 0.514
O4 0.253 0.577 0.065
O5 0.332 0.106 0.834
O6 0.464 0.677 0.880
O7 0.474 0.113 0.171
# M_tot in μB per cell: 6.00
# Total DFT energy (no corrections) in eV per atom: -5.054
# Crystal system: monoclinic


# 3
# PBE with a Hubbard U UCoH2O6, relaxed
data_UCoH2O6
_chemical_formula_sum 'U1 Co1 H2 O6'
_symmetry_space_group_name_H-M 'P -1'
_symmetry_Int_Tables_number 2
_cell_length_a 5.022
_cell_length_b 5.097
_cell_length_c 5.411
_cell_angle_alpha 62.34
_cell_angle_beta 89.75
_cell_angle_gamma 64.39
loop_
_symmetry_equiv_pos_as_xyz
'x,y,z'
'-x,-y,-z'
loop_
_atom_site_label
_atom_site_fract_x
_atom_site_fract_y
_atom_site_fract_z
U1 0.000 0.000 0.000
Co1 0.500 0.000 0.500
H1 0.388 0.548 0.698
O1 0.156 0.102 0.263
O2 0.261 0.118 0.741
O3 0.420 0.450 0.275
# M_tot in μB per cell: 1.03
# Total DFT energy (no corrections) in eV per atom: -6.923
# Crystal system: triclinic